Entry 1:
# Ho3ZnTe (PBE, relaxed)
data_Ho3ZnTe
_chemical_formula_sum 'Ho6 Zn2 Te2'
_cell_length_a 8.911
_cell_length_b 8.911
_cell_length_c 6.476
_cell_angle_alpha 91.23
_cell_angle_beta 91.23
_cell_angle_gamma 30.29
_symmetry_space_group_name_H-M 'P 1'
_symmetry_Int_Tables_number 1
loop_
_symmetry_equiv_pos_as_xyz
'x,y,z'
loop_
_atom_site_label
_atom_site_fract_x
_atom_site_fract_y
_atom_site_fract_z
_atom_site_occupancy
Ho1 0.007 0.007 0.254 1
Ho2 0.207 0.207 0.643 1
Ho3 0.383 0.383 0.006 1
Ho4 0.617 0.617 0.994 1
Ho5 0.793 0.793 0.357 1
Ho6 0.993 0.993 0.746 1
Zn1 0.215 0.215 0.114 1
Zn2 0.785 0.785 0.886 1
Te1 0.397 0.397 0.508 1
Te2 0.603 0.603 0.492 1
# - ΔE to the lowest computed polymorph: 2.01 kcal/mol of atoms
# - Symmetry: C2/m

=====

Entry 2:
# K2RbBaPb (PBE, relaxed)
data_K2RbBaPb
_chemical_formula_sum 'K2 Rb1 Ba1 Pb1'
_cell_length_a 7.119
_cell_length_b 7.119
_cell_length_c 6.758
_cell_angle_alpha 90.00
_cell_angle_beta 90.00
_cell_angle_gamma 90.00
_symmetry_space_group_name_H-M 'P 1'
_symmetry_Int_Tables_number 1
loop_
_symmetry_equiv_pos_as_xyz
'x,y,z'
loop_
_atom_site_label
_atom_site_fract_x
_atom_site_fract_y
_atom_site_fract_z
_atom_site_occupancy
K1 0.000 0.500 0.000 1
K2 0.500 0.000 0.000 1
Rb1 0.000 0.000 0.500 1
Ba1 0.500 0.500 0.500 1
Pb1 0.500 0.500 0.000 1
# - Symmetry: P4/mmm
# - Formation energy from the elements: -0.04 eV per atom

=====

Entry 3:
# ScMoOs2 (PBE, relaxed)
data_ScMoOs2
_chemical_formula_sum 'Sc1 Mo1 Os2'
_cell_length_a 5.222
_cell_length_b 5.222
_cell_length_c 5.222
_cell_angle_alpha 145.30
_cell_angle_beta 127.75
_cell_angle_gamma 64.25
_symmetry_space_group_name_H-M 'P 1'
_symmetry_Int_Tables_number 1
loop_
_symmetry_equiv_pos_as_xyz
'x,y,z'
loop_
_atom_site_label
_atom_site_fract_x
_atom_site_fract_y
_atom_site_fract_z
_atom_site_occupancy
Sc1 0.000 0.000 0.000 1
Mo1 0.500 0.500 0.000 1
Os1 0.261 0.761 0.500 1
Os2 0.739 0.239 0.500 1
# - Symmetry: Immm
# - Formation energy from the elements: 0.06 eV per atom

=====

Entry 4:
# CeHo2Ru3 (PBE, relaxed)
data_CeHo2Ru3
_chemical_formula_sum 'Ce2 Ho4 Ru6'
_cell_length_a 7.187
_cell_length_b 7.187
_cell_length_c 6.804
_cell_angle_alpha 103.97
_cell_angle_beta 103.97
_cell_angle_gamma 46.46
_symmetry_space_group_name_H-M 'P 1'
_symmetry_Int_Tables_number 1
loop_
_symmetry_equiv_pos_as_xyz
'x,y,z'
loop_
_atom_site_label
_atom_site_fract_x
_atom_site_fract_y
_atom_site_fract_z
_atom_site_occupancy
Ce1 0.206 0.794 0.750 1
Ce2 0.794 0.206 0.250 1
Ho1 0.207 0.208 0.603 1
Ho2 0.208 0.207 0.103 1
Ho3 0.792 0.793 0.897 1
Ho4 0.793 0.792 0.397 1
Ru1 0.196 0.804 0.250 1
Ru2 0.381 0.387 0.444 1
Ru3 0.387 0.381 0.944 1
Ru4 0.613 0.619 0.056 1
Ru5 0.619 0.613 0.556 1
Ru6 0.804 0.196 0.750 1
# - ΔE to the lowest computed polymorph: 3.42 kcal/mol of atoms
# - Symmetry: C2/c
# - Formation energy from the elements: -0.26 eV per atom

=====

Entry 5:
# MgTc (PBE, relaxed)
data_MgTc
_chemical_formula_sum 'Mg4 Tc4'
_cell_length_a 7.307
_cell_length_b 7.307
_cell_length_c 7.307
_cell_angle_alpha 109.47
_cell_angle_beta 109.47
_cell_angle_gamma 109.47
_symmetry_space_group_name_H-M 'P 1'
_symmetry_Int_Tables_number 1
loop_
_symmetry_equiv_pos_as_xyz
'x,y,z'
loop_
_atom_site_label
_atom_site_fract_x
_atom_site_fract_y
_atom_site_fract_z
_atom_site_occupancy
Mg1 0.000 0.000 0.593 1
Mg2 0.000 0.593 0.000 1
Mg3 0.407 0.407 0.407 1
Mg4 0.593 0.000 0.000 1
Tc1 0.000 0.000 0.208 1
Tc2 0.000 0.208 0.000 1
Tc3 0.208 0.000 0.000 1
Tc4 0.792 0.792 0.792 1
# - ΔE to the lowest computed polymorph: 33.59 kcal/mol of atoms
# - Symmetry: I-43m
# - Formation energy from the elements: 1.43 eV per atom

=====

Entry 6:
# RbNb3Co (PBE, relaxed)
data_RbNb3Co
_chemical_formula_sum 'Rb1 Nb3 Co1'
_cell_length_a 4.823
_cell_length_b 4.823
_cell_length_c 4.823
_cell_angle_alpha 90.00
_cell_angle_beta 90.00
_cell_angle_gamma 90.00
_symmetry_space_group_name_H-M 'P 1'
_symmetry_Int_Tables_number 1
loop_
_symmetry_equiv_pos_as_xyz
'x,y,z'
loop_
_atom_site_label
_atom_site_fract_x
_atom_site_fract_y
_atom_site_fract_z
_atom_site_occupancy
Rb1 0.000 0.000 0.000 1
Nb1 0.000 0.500 0.500 1
Nb2 0.500 0.000 0.500 1
Nb3 0.500 0.500 0.000 1
Co1 0.500 0.500 0.500 1
# - ΔE to the lowest computed polymorph: 0.00 kcal/mol of atoms
# - Symmetry: Pm-3m
# - Formation energy from the elements: 1.28 eV per atom

=====

Entry 7:
# Ca2Cd4Ag3 (PBE, relaxed)
data_Ca2Cd4Ag3
_chemical_formula_sum 'Ca2 Cd4 Ag3'
_cell_length_a 8.879
_cell_length_b 7.892
_cell_length_c 5.703
_cell_angle_alpha 79.78
_cell_angle_beta 61.02
_cell_angle_gamma 39.20
_symmetry_space_group_name_H-M 'P 1'
_symmetry_Int_Tables_number 1
loop_
_symmetry_equiv_pos_as_xyz
'x,y,z'
loop_
_atom_site_label
_atom_site_fract_x
_atom_site_fract_y
_atom_site_fract_z
_atom_site_occupancy
Ca1 0.127 0.127 0.873 1
Ca2 0.873 0.873 0.127 1
Cd1 0.170 0.489 0.511 1
Cd2 0.489 0.170 0.830 1
Cd3 0.511 0.830 0.170 1
Cd4 0.830 0.511 0.489 1
Ag1 0.000 0.000 0.500 1
Ag2 0.500 0.500 0.000 1
Ag3 0.500 0.500 0.500 1
# - Symmetry: Fmmm
# - Formation energy from the elements: -0.25 eV per atom

=====

Entry 8:
# TiPbW2Au (PBE, relaxed)
data_TiPbW2Au
_chemical_formula_sum 'Ti1 Pb1 W2 Au1'
_cell_length_a 4.657
_cell_length_b 4.657
_cell_length_c 5.157
_cell_angle_alpha 90.00
_cell_angle_beta 90.00
_cell_angle_gamma 90.00
_symmetry_space_group_name_H-M 'P 1'
_symmetry_Int_Tables_number 1
loop_
_symmetry_equiv_pos_as_xyz
'x,y,z'
loop_
_atom_site_label
_atom_site_fract_x
_atom_site_fract_y
_atom_site_fract_z
_atom_site_occupancy
Ti1 0.000 0.000 0.000 1
Pb1 0.500 0.500 0.500 1
W1 0.000 0.500 0.000 1
W2 0.500 0.000 0.000 1
Au1 0.000 0.000 0.500 1
# - Symmetry: P4/mmm
# - Formation energy from the elements: 1.58 eV per atom

=====

Entry 9:
# KOs2Cl (PBE, relaxed)
data_KOs2Cl
_chemical_formula_sum 'K1 Os2 Cl1'
_cell_length_a 10.287
_cell_length_b 10.287
_cell_length_c 10.287
_cell_angle_alpha 15.78
_cell_angle_beta 15.78
_cell_angle_gamma 15.78
_symmetry_space_group_name_H-M 'P 1'
_symmetry_Int_Tables_number 1
loop_
_symmetry_equiv_pos_as_xyz
'x,y,z'
loop_
_atom_site_label
_atom_site_fract_x
_atom_site_fract_y
_atom_site_fract_z
_atom_site_occupancy
K1 0.000 0.000 0.000 1
Os1 0.237 0.237 0.237 1
Os2 0.763 0.763 0.763 1
Cl1 0.500 0.500 0.500 1
# - ΔE to the lowest computed polymorph: 25.44 kcal/mol of atoms
# - Symmetry: R-3m

=====

Entry 10:
# La3NdRh8 (PBE, relaxed)
data_La3NdRh8
_chemical_formula_sum 'La3 Nd1 Rh8'
_cell_length_a 9.432
_cell_length_b 9.432
_cell_length_c 9.432
_cell_angle_alpha 33.51
_cell_angle_beta 33.51
_cell_angle_gamma 33.51
_symmetry_space_group_name_H-M 'P 1'
_symmetry_Int_Tables_number 1
loop_
_symmetry_equiv_pos_as_xyz
'x,y,z'
loop_
_atom_site_label
_atom_site_fract_x
_atom_site_fract_y
_atom_site_fract_z
_atom_site_occupancy
La1 0.000 0.000 0.000 1
La2 0.125 0.125 0.125 1
La3 0.625 0.625 0.625 1
Nd1 0.500 0.500 0.500 1
Rh1 0.062 0.062 0.562 1
Rh2 0.062 0.562 0.062 1
Rh3 0.063 0.563 0.563 1
Rh4 0.313 0.313 0.313 1
Rh5 0.562 0.062 0.062 1
Rh6 0.563 0.063 0.563 1
Rh7 0.563 0.563 0.063 1
Rh8 0.813 0.813 0.813 1
# - Symmetry: R3m
# - Formation energy from the elements: -0.69 eV per atom

=====

Entry 11:
# Nd2PdI2 (PBE, relaxed)
data_Nd2PdI2
_chemical_formula_sum 'Nd2 Pd1 I2'
_cell_length_a 12.106
_cell_length_b 12.106
_cell_length_c 12.106
_cell_angle_alpha 20.15
_cell_angle_beta 20.15
_cell_angle_gamma 20.15
_symmetry_space_group_name_H-M 'P 1'
_symmetry_Int_Tables_number 1
loop_
_symmetry_equiv_pos_as_xyz
'x,y,z'
loop_
_atom_site_label
_atom_site_fract_x
_atom_site_fract_y
_atom_site_fract_z
_atom_site_occupancy
Nd1 0.120 0.120 0.120 1
Nd2 0.880 0.880 0.880 1
Pd1 0.500 0.500 0.500 1
I1 0.275 0.275 0.275 1
I2 0.725 0.725 0.725 1
# - Symmetry: R-3m
# - Electronic total energy: -23.22 eV for the cell shown

=====

Entry 12:
# In2RuPt2 (PBE, relaxed)
data_In2RuPt2
_chemical_formula_sum 'In2 Ru1 Pt2'
_cell_length_a 6.741
_cell_length_b 6.741
_cell_length_c 6.741
_cell_angle_alpha 144.92
_cell_angle_beta 144.92
_cell_angle_gamma 50.45
_symmetry_space_group_name_H-M 'P 1'
_symmetry_Int_Tables_number 1
loop_
_symmetry_equiv_pos_as_xyz
'x,y,z'
loop_
_atom_site_label
_atom_site_fract_x
_atom_site_fract_y
_atom_site_fract_z
_atom_site_occupancy
In1 0.250 0.750 0.500 1
In2 0.750 0.250 0.500 1
Ru1 0.000 0.000 0.000 1
Pt1 0.397 0.397 0.000 1
Pt2 0.603 0.603 0.000 1
# - ΔE to the lowest computed polymorph: 8.36 kcal/mol of atoms
# - Symmetry: I4/mmm
# - Formation energy from the elements: 0.37 eV per atom

=====

Number 1: M_tot 0.0 μB/f.u., mass density 8.8 Mg/m³. Number 2: M_tot 0.0 μB/f.u., mass density 2.5 Mg/m³. Number 3: M_tot 0.0 μB/f.u., mass density 13.7 Mg/m³. Number 4: M_tot 0.0 μB/f.u., mass density 10.4 Mg/m³. Number 5: M_tot 1.5 μB/f.u., mass density 2.7 Mg/m³. Number 6: M_tot 1.0 μB/f.u., mass density 6.3 Mg/m³. Number 7: M_tot 0.0 μB/f.u., mass density 6.9 Mg/m³. Number 8: M_tot 1.2 μB/f.u., mass density 12.2 Mg/m³. Number 9: M_tot 0.6 μB/f.u., mass density 10.8 Mg/m³. Number 10: M_tot 0.0 μB/f.u., mass density 10.1 Mg/m³. Number 11: M_tot 0.0 μB/f.u., mass density 5.8 Mg/m³. Number 12: M_tot 2.6 μB/f.u., mass density 11.9 Mg/m³.